No. 1
PmMgAl | Alexandria | GGA-PBE | relaxed; volume = 150.2 Å³/cell; uncorrected energy = -0.132 Ha/atom; energy above the most stable polymorph in this dataset = 0.101 eV/atom; total magnetic moment = 0.000 μB per atom; symmetry = No. 164; DFT formation energy = -0.2170 eV/atom
1.0
-4.605 1.237 -0.583
-3.397 -3.393 -0.164
-0.820 0.460 7.454
Al Pm Mg
2 2 2
direct
0.333 0.833 0.975
0.667 0.167 0.025
0.000 0.500 0.765
0.000 0.500 0.235
0.667 0.167 0.469
0.333 0.833 0.531



No. 2
TaBiSe | Alexandria | GGA-PBE | relaxed; formation energy (no corrections) = -0.2511 eV/atom; volume = 158.8 Å³/cell; uncorrected energy = -0.245 Ha/atom; total magnetic moment = 0.000 μB per atom; symmetry = No. 2
1.0
3.263 -0.397 0.460
0.770 8.097 -0.352
2.380 -0.787 6.303
Bi Se Ta
2 2 2
direct
0.148 0.282 0.124
0.852 0.718 0.876
0.853 0.784 0.380
0.147 0.216 0.620
0.492 0.000 0.257
0.508 0.000 0.743



No. 3
SmAl6Ni6 | Alexandria | GGA-PBE | relaxed; volume = 180.3 Å³/cell; uncorrected energy = -0.196 Ha/atom; total magnetic moment = 0.000 μB per atom; symmetry = No. 71; DFT formation energy = -0.5708 eV/atom
1.0
4.604 0.000 1.840
2.236 6.029 1.085
0.064 0.033 6.521
Ni Al Sm
6 6 1
direct
0.500 0.764 0.236
0.000 0.500 0.000
0.500 0.500 0.000
0.500 0.236 0.764
0.500 0.000 0.500
0.000 0.000 0.500
0.000 0.658 0.342
0.348 0.652 0.652
0.697 0.803 0.803
0.000 0.342 0.658
0.652 0.348 0.348
0.303 0.197 0.197
0.000 0.000 0.000



No. 4
La3SnCl | Alexandria | GGA-PBE | relaxed; formation energy (no corrections) = -0.7802 eV/atom; volume = 159.5 Å³/cell; uncorrected energy = -0.180 Ha/atom; energy above the most stable polymorph in this dataset = 0.210 eV/atom; total magnetic moment = 0.000 μB per atom; symmetry = No. 221
1.0
-1.142 4.322 -3.070
-4.131 1.243 3.287
3.323 3.031 3.031
La Cl Sn
3 1 1
direct
0.000 0.000 0.500
0.000 0.500 0.000
0.500 0.000 0.000
0.000 0.000 0.000
0.500 0.500 0.500



No. 5
ZrMnP3 | Alexandria | GGA-PBE | relaxed; volume = 87.8 Å³/cell; uncorrected energy = -0.245 Ha/atom; energy above the most stable polymorph in this dataset = 0.000 eV/atom; total magnetic moment = 0.569 μB per atom; symmetry = No. 221; DFT formation energy = 0.1361 eV/atom
1.0
4.444 0.000 0.000
0.000 4.444 0.000
0.000 0.000 4.444
Mn P Zr
1 3 1
direct
0.000 0.000 0.000
0.000 0.500 0.000
0.500 0.000 0.000
0.000 0.000 0.500
0.500 0.500 0.500



No. 6
Tm3ScO | Alexandria | GGA-PBE | relaxed; formation energy (no corrections) = -1.1297 eV/atom; volume = 110.0 Å³/cell; uncorrected energy = -0.223 Ha/atom; total magnetic moment = 0.000 μB per atom; symmetry = No. 221
1.0
-4.121 2.355 -0.650
-2.186 -2.983 3.046
1.093 2.917 3.640
Tm Sc O
3 1 1
direct
0.000 0.000 0.500
0.000 0.500 0.000
0.500 0.000 0.000
0.500 0.500 0.500
0.000 0.000 0.000



The records above yield theoretical density values of 4.34; 9.81; 6.12; 5.94; 4.52; 8.57 g/cm³, respectively.